PBE Y2TaBe, relaxed; total magnetization = 0.00 Bohr magnetons per cell; energy relative to the elements = 0.34 eV/atom; distance to the lowest polymorph of the same formula = 0.113 eV/atom
1.0
-4.084 -1.669 1.012
1.333 -3.152 0.181
1.761 -0.783 5.816
Y Be Ta
2 1 1
Cartesian
2.937 -3.791 5.602 Y
-1.117 -1.966 2.375 Y
1.814 -2.546 3.123 Be
0.016 -3.203 4.904 Ta

PBE YTa2Be, relaxed; total magnetization = 0.00 Bohr magnetons per cell; energy relative to the elements = 0.70 eV/atom; distance to the lowest polymorph of the same formula = 0.498 eV/atom
1.0
-2.849 2.428 1.313
-2.637 -2.951 -0.266
-0.684 -2.952 9.970
Y Be Ta
2 2 4
Cartesian
0.000 0.000 0.000 Y
-3.138 -0.393 5.903 Y
-2.743 -0.262 0.524 Be
-3.032 -3.082 5.114 Be
-0.888 -0.777 2.638 Ta
-3.569 -1.091 3.133 Ta
-3.860 -3.854 7.740 Ta
-4.024 -1.228 8.524 Ta

PBE Y2TaBe, relaxed; total magnetization = 0.00 Bohr magnetons per cell; energy relative to the elements = 0.24 eV/atom; distance to the lowest polymorph of the same formula = 0.020 eV/atom
1.0
-2.400 -5.518 -0.610
1.923 -3.696 -4.384
1.319 3.225 4.944
Y Be Ta
2 1 1
Cartesian
-0.005 -0.092 -0.050 Y
-0.642 -3.098 1.109 Y
-0.228 -4.412 -2.391 Be
1.478 -2.994 -1.215 Ta

- Among the records above, which one has the lowest energy relative to the elements?
  number 3

- What is the distance to the lowest polymorph of the same formula in the first record?
  0.113 eV/atom

- Number 3 is which compound?
  Y2TaBe